This record from Alexandria via LeMat-Bulk describes AlIn2I6 after structural relaxation. The functional is GGA-PBE.

Results
density of states at the Fermi level: 3.0 states/eV/f.u.
V: 48.1 Å³ per atom
formation energy from raw total energies: -473 meV/atom

The structure in POSCAR format:
```
AlIn2I6
1.0
-2.8790 -1.8279 -8.8706
4.8945 -8.0715 1.7109
-7.9916 -4.1164 3.4420
Al In I
2 4 12
direct
0.5000 0.0000 0.5000 Al
0.0000 0.5000 0.0000 Al
0.7793 0.2321 0.2582 In
0.7207 0.2679 0.7582 In
0.2793 0.7321 0.2418 In
0.2207 0.7679 0.7418 In
0.0238 0.7891 0.0384 I
0.9470 0.5380 0.7088 I
0.7897 0.0243 0.5513 I
0.7103 0.4757 0.0513 I
0.5530 0.9620 0.2088 I
0.4762 0.7109 0.5384 I
0.9762 0.2109 0.9616 I
0.0530 0.4620 0.2912 I
0.2103 0.9757 0.4487 I
0.2897 0.5243 0.9487 I
0.4470 0.0380 0.7912 I
0.5238 0.2891 0.4616 I
```